Entry 1:
Compound: Gd2ThZr
Source: Alexandria
Functional: PBE-GGA
Structure: optimized geometry

abc: 5.077 4.811 4.811
angles: 90.00 90.00 90.00
Each line ends with the local moment (μB).
Fractional positions:
Gd: 0.000 0.000 0.500  7.09
Zr: 0.500 0.000 0.000  -0.19
Th: 0.500 0.500 0.500  -0.06
Gd: 0.000 0.500 0.000  7.09

Output
V ... 29.37 A^3/atom
Magnetization ... 3.525 μB/atom
Relative energy among the computed polymorphs ... 0.00 kcal/mol of atoms
ΔE_f ... 0.10 eV per atom
DOS at the Fermi energy ... 5.40 states/eV per cell
E_tot ... -10.934 eV/atom

---

Entry 2:
Compound: Cs3LiC
Source: Alexandria
Functional: PBE-GGA
Structure: optimized geometry

abc: 7.338 7.338 7.338
angles: 90.00 90.00 90.00
Each line ends with the local moment (μB).
Fractional positions:
Li: 0.000 0.000 0.000  -0.02
C: 0.500 0.500 0.500  1.10
Cs: 0.000 0.500 0.000  -0.01
Cs: 0.000 0.000 0.500  -0.01
Cs: 0.500 0.000 0.000  -0.01

Output
V ... 79.01 A^3/atom
Magnetization ... 0.449 μB/atom
ΔE_f ... 1.35 eV per atom
DOS at the Fermi energy ... 3.56 states/eV per cell
E_tot ... -1.388 eV/atom

---

Entry 3:
Compound: AcGdSe
Source: Alexandria
Functional: PBE-GGA
Structure: optimized geometry

abc: 3.819 3.819 6.995
angles: 105.84 105.84 90.00
Each line ends with the local moment (μB).
Fractional positions:
Se: 0.022 0.022 0.043  0.00
Gd: 0.631 0.631 0.262  7.37
Ac: 0.348 0.348 0.695  0.15

Output
V ... 31.37 A^3/atom
Magnetization ... 2.784 μB/atom
Relative energy among the computed polymorphs ... 3.33 kcal/mol of atoms
ΔE_f (raw) ... -957 meV/atom
DOS at the Fermi energy ... 3.94 states/eV per cell
E_tot ... -8.181 eV/atom

---

Entry 4:
Compound: ErSc2Ag3Se6
Source: Alexandria
Functional: PBE-GGA
Structure: optimized geometry

abc: 6.958 6.958 6.954
angles: 99.50 99.50 120.04
Fractional positions:
Se: 0.422 0.078 0.235
Se: 0.078 0.422 0.235
Ag: 0.160 0.840 0.500
Se: 0.267 0.267 0.766
Se: 0.578 0.922 0.765
Ag: 0.500 0.500 0.500
Se: 0.922 0.578 0.765
Sc: 0.668 0.332 0.000
Ag: 0.840 0.160 0.500
Er: 0.000 0.000 0.000
Sc: 0.332 0.668 0.000
Se: 0.733 0.733 0.234

Output
V ... 22.92 A^3/atom
Magnetization ... 0.000 μB/atom
ΔE_f (raw) ... -1079 meV/atom
E_tot ... -4.970 eV/atom

---

Entry 5:
Compound: Ac3Si2I
Source: Alexandria
Functional: PBE-GGA
Structure: optimized geometry

abc: 3.865 3.865 12.657
angles: 90.00 90.00 90.00
Fractional positions:
Si: 0.500 0.500 0.162
Si: 0.500 0.500 0.838
I: 0.500 0.500 0.500
Ac: 0.000 0.000 0.702
Ac: 0.000 0.000 0.000
Ac: 0.000 0.000 0.298

Output
V ... 31.51 A^3/atom
Magnetization ... 0.000 μB/atom
Relative energy among the computed polymorphs ... 0.00 kcal/mol of atoms
ΔE_f (raw) ... -582 meV/atom
DOS at the Fermi energy ... 4.71 states/eV per cell
E_tot ... -4.702 eV/atom

---

Entry 6:
Compound: Ac2Al5Ag
Source: Alexandria
Functional: PBE-GGA
Structure: optimized geometry

abc: 4.644 9.078 9.439
angles: 90.00 90.00 104.82
Fractional positions:
Al: 0.407 0.815 0.250
Ag: 0.559 0.118 0.250
Al: 0.352 0.704 0.517
Al: 0.648 0.296 0.017
Ac: 0.796 0.593 0.750
Ac: 0.000 0.000 0.500
Al: 0.185 0.371 0.891
Al: 0.593 0.185 0.750
Ac: 0.000 0.000 0.000
Ag: 0.441 0.882 0.750
Al: 0.185 0.371 0.609
Al: 0.352 0.704 0.983
Al: 0.815 0.629 0.109
Ac: 0.204 0.407 0.250
Al: 0.815 0.629 0.391
Al: 0.648 0.296 0.483

Output
V ... 24.04 A^3/atom
Magnetization ... 0.000 μB/atom
ΔE_f ... -0.34 eV per atom
DOS at the Fermi energy ... 8.00 states/eV per cell
E_tot ... -4.064 eV/atom

---

Entry 7:
Compound: ScNbZn2Ni
Source: Alexandria
Functional: PBE-GGA
Structure: optimized geometry

abc: 4.968 4.777 4.968
angles: 90.00 90.00 90.00
Each line ends with the local moment (μB).
Fractional positions:
Sc: 0.000 0.500 0.000  0.00
Nb: 0.000 0.000 0.000  0.02
Zn: 0.500 0.000 0.000  0.00
Zn: 0.000 0.000 0.500  -0.01
Ni: 0.500 0.500 0.500  0.58

Output
V ... 23.58 A^3/atom
Magnetization ... 0.111 μB/atom
ΔE_f ... 1.24 eV per atom
DOS at the Fermi energy ... 6.09 states/eV per cell
E_tot ... -3.705 eV/atom

---

Entry 8:
Compound: Nd3Ga6Pd5
Source: Alexandria
Functional: PBE-GGA
Structure: optimized geometry

abc: 4.378 9.340 13.109
angles: 90.00 90.00 90.00
Fractional positions:
Ga: 0.500 0.572 0.000
Pd: 0.000 0.872 0.342
Ga: 0.000 0.594 0.678
Nd: 0.500 0.750 0.803
Nd: 0.500 0.751 0.500
Pd: 0.500 0.469 0.615
Ga: 0.500 0.021 0.348
Nd: 0.500 0.750 0.197
Pd: 0.000 0.531 0.115
Pd: 0.000 0.793 0.000
Pd: 0.500 0.469 0.385
Ga: 0.000 0.979 0.848
Pd: 0.500 0.207 0.500
Pd: 0.500 0.128 0.842
Ga: 0.000 0.039 0.500
Ga: 0.000 0.594 0.322
Nd: 0.000 0.250 0.303
Pd: 0.000 0.531 0.885
Ga: 0.500 0.406 0.178
Pd: 0.500 0.128 0.158
Ga: 0.500 0.021 0.652
Nd: 0.000 0.250 0.697
Pd: 0.000 0.872 0.658
Nd: 0.000 0.249 0.000
Ga: 0.000 0.979 0.152
Ga: 0.000 0.428 0.500
Ga: 0.500 0.961 0.000
Ga: 0.500 0.406 0.822

Output
V ... 19.15 A^3/atom
Magnetization ... 0.000 μB/atom
ΔE_f ... -0.79 eV per atom
DOS at the Fermi energy ... 14.24 states/eV per cell
E_tot ... -4.963 eV/atom

---

Entry 9:
Compound: LiZnRh3
Source: Alexandria
Functional: PBE-GGA
Structure: optimized geometry

abc: 4.125 4.125 4.125
angles: 90.00 90.00 90.00
Fractional positions:
Zn: 0.500 0.500 0.500
Rh: 0.500 0.000 0.000
Rh: 0.000 0.500 0.000
Rh: 0.000 0.000 0.500
Li: 0.000 0.000 0.000

Output
V ... 14.04 A^3/atom
Magnetization ... 0.000 μB/atom
Relative energy among the computed polymorphs ... 0.00 kcal/mol of atoms
ΔE_f ... 0.53 eV per atom
DOS at the Fermi energy ... 3.00 states/eV per cell
E_tot ... -4.519 eV/atom

---

Entry 10:
Compound: RbLaMo2Au
Source: Alexandria
Functional: PBE-GGA
Structure: optimized geometry

abc: 5.086 6.090 5.086
angles: 90.00 90.00 90.00
Each line ends with the local moment (μB).
Fractional positions:
Mo: 0.500 0.000 0.000  2.00
Au: 0.000 0.500 0.000  0.04
La: 0.000 0.000 0.000  0.02
Mo: 0.000 0.000 0.500  1.53
Rb: 0.500 0.500 0.500  0.02

Output
V ... 31.50 A^3/atom
Magnetization ... 0.895 μB/atom
ΔE_f ... 1.61 eV per atom
DOS at the Fermi energy ... 4.00 states/eV per cell
E_tot ... -4.557 eV/atom

---

Entry 11:
Compound: BaMg5Hg2
Source: Alexandria
Functional: PBE-GGA
Structure: optimized geometry

abc: 4.574 7.356 7.356
angles: 70.16 71.89 71.89
Fractional positions:
Hg: 0.254 0.246 0.246
Mg: 0.348 0.837 0.466
Mg: 0.652 0.534 0.163
Mg: 0.000 0.500 0.500
Mg: 0.348 0.466 0.837
Hg: 0.746 0.754 0.754
Mg: 0.652 0.163 0.534
Ba: 0.000 0.000 0.000

Output
V ... 26.92 A^3/atom
Magnetization ... 0.000 μB/atom
ΔE_f ... -0.25 eV per atom
DOS at the Fermi energy ... 5.46 states/eV per cell
E_tot ... -1.558 eV/atom

---

Entry 12:
Compound: CdGaSn
Source: Alexandria
Functional: PBE-GGA
Structure: optimized geometry

abc: 3.319 3.319 6.796
angles: 104.13 104.13 90.00
Fractional positions:
Ga: 0.669 0.669 0.339
Sn: 0.007 0.007 0.014
Cd: 0.324 0.324 0.647

Output
V ... 23.42 A^3/atom
Magnetization ... 0.000 μB/atom
Relative energy among the computed polymorphs ... 0.45 kcal/mol of atoms
ΔE_f ... 0.05 eV per atom
DOS at the Fermi energy ... 1.10 states/eV per cell
E_tot ... -2.597 eV/atom

---

Entry 13:
Compound: NiMoW2
Source: Alexandria
Functional: PBE-GGA
Structure: optimized geometry

abc: 4.630 4.630 4.630
angles: 128.03 128.03 76.58
Fractional positions:
W: 0.000 0.000 0.000
Ni: 0.750 0.250 0.500
Mo: 0.500 0.500 0.000
W: 0.250 0.750 0.500

Output
V ... 14.95 A^3/atom
Magnetization ... 0.000 μB/atom
Relative energy among the computed polymorphs ... 3.41 kcal/mol of atoms
ΔE_f ... 0.21 eV per atom
DOS at the Fermi energy ... 3.78 states/eV per cell
E_tot ... -10.422 eV/atom

---

Entry 14:
Compound: Rb2CeI3Cl3
Source: Alexandria
Functional: PBE-GGA
Structure: optimized geometry

abc: 4.268 9.360 9.360
angles: 120.00 90.00 90.00
Each line ends with the local moment (μB).
Fractional positions:
Ce: 0.000 0.000 0.000  0.33
Cl: 0.500 0.204 0.204  -0.01
Cl: 0.500 0.000 0.796  -0.01
I: 0.000 0.000 0.363  -0.02
Cl: 0.500 0.796 0.000  -0.01
I: 0.000 0.363 0.000  -0.02
I: 0.000 0.637 0.637  -0.02
Rb: 0.500 0.333 0.667  0.00
Rb: 0.500 0.667 0.333  0.00

Output
V ... 35.98 A^3/atom
Magnetization ... 0.022 μB/atom
ΔE_f (raw) ... -1580 meV/atom
DOS at the Fermi energy ... 6.47 states/eV per cell
E_tot ... -3.587 eV/atom

---

Entry 15:
Compound: NdPuSc2Te4
Source: Alexandria
Functional: PBE-GGA
Structure: optimized geometry

abc: 4.271 7.465 7.520
angles: 108.90 90.00 90.00
Each line ends with the local moment (μB).
Fractional positions:
Sc: 0.000 0.500 0.500  0.09
Te: 0.000 0.246 0.729  -0.03
Pu: 0.500 0.500 0.000  5.58
Te: 0.500 0.740 0.727  -0.01
Nd: 0.000 0.000 0.000  0.05
Te: 0.000 0.754 0.271  -0.03
Sc: 0.500 0.000 0.500  -0.06
Te: 0.500 0.260 0.273  -0.01

Output
V ... 28.36 A^3/atom
Magnetization ... 0.754 μB/atom
ΔE_f (raw) ... -1186 meV/atom
DOS at the Fermi energy ... 13.27 states/eV per cell
E_tot ... -6.728 eV/atom

---

Entry 16:
Compound: Be2MoAs
Source: Alexandria
Functional: PBE-GGA
Structure: optimized geometry

abc: 4.405 4.405 2.828
angles: 90.00 90.00 111.16
Fractional positions:
As: 0.000 0.500 0.500
Mo: 0.500 0.000 0.500
Be: 0.500 0.500 0.000
Be: 0.000 0.000 0.000

Output
V ... 12.79 A^3/atom
Magnetization ... 0.000 μB/atom
ΔE_f ... 0.25 eV per atom
DOS at the Fermi energy ... 2.76 states/eV per cell
E_tot ... -5.482 eV/atom

---

Entry 17:
Compound: SrLa2Zn2Sn2
Source: Alexandria
Functional: PBE-GGA
Structure: optimized geometry

abc: 4.777 4.777 10.604
angles: 76.98 76.98 60.00
Fractional positions:
Sn: 0.261 0.261 0.217
La: 0.133 0.133 0.602
Sn: 0.739 0.739 0.783
Sr: 0.000 0.000 0.000
La: 0.867 0.867 0.398
Zn: 0.581 0.581 0.258
Zn: 0.419 0.419 0.742

Output
V ... 28.90 A^3/atom
Magnetization ... 0.000 μB/atom
ΔE_f ... -0.41 eV per atom
DOS at the Fermi energy ... 6.56 states/eV per cell
E_tot ... -3.563 eV/atom

---

Entry 18:
Compound: Cu2OsPb
Source: Alexandria
Functional: PBE-GGA
Structure: optimized geometry

abc: 4.933 4.933 4.933
angles: 132.81 132.81 68.96
Fractional positions:
Cu: 0.500 0.500 0.000
Os: 0.250 0.750 0.500
Pb: 0.750 0.250 0.500
Cu: 0.000 0.000 0.000

Output
V ... 15.85 A^3/atom
Magnetization ... 0.000 μB/atom
ΔE_f ... 0.72 eV per atom
DOS at the Fermi energy ... 4.46 states/eV per cell
E_tot ... -5.065 eV/atom

---

Entry 19:
Compound: Sm10YTm4
Source: Alexandria
Functional: PBE-GGA
Structure: optimized geometry

abc: 10.826 8.849 8.849
angles: 68.03 52.29 52.29
Fractional positions:
Tm: 0.443 0.341 0.772
Sm: 0.393 0.893 0.654
Sm: 0.250 0.500 0.500
Sm: 0.287 0.654 0.107
Sm: 0.059 0.893 0.654
Tm: 0.557 0.659 0.228
Sm: 0.713 0.346 0.893
Tm: 0.785 0.772 0.659
Y: 0.000 0.000 0.000
Tm: 0.215 0.228 0.341
Sm: 0.953 0.654 0.107
Sm: 0.941 0.107 0.346
Sm: 0.750 0.500 0.500
Sm: 0.047 0.346 0.893
Sm: 0.607 0.107 0.346

Output
V ... 35.37 A^3/atom
Magnetization ... 0.000 μB/atom
ΔE_f ... 0.45 eV per atom
DOS at the Fermi energy ... 24.16 states/eV per cell
E_tot ... -4.318 eV/atom

---

Entry 20:
Compound: La8CuRu3Br4
Source: Alexandria
Functional: PBE-GGA
Structure: optimized geometry

abc: 8.359 9.312 8.358
angles: 116.67 120.00 90.00
Fractional positions:
La: 0.282 0.305 0.043
La: 0.734 0.700 0.467
La: 0.238 0.695 0.477
Br: 0.000 0.000 0.500
La: 0.761 0.305 0.043
Ru: 0.000 0.500 0.500
Br: 0.500 0.000 0.500
La: 0.718 0.695 0.957
Ru: 0.500 0.500 0.500
Br: 0.500 0.000 0.000
Cu: 0.000 0.500 0.000
La: 0.239 0.695 0.957
La: 0.762 0.305 0.523
La: 0.266 0.300 0.533
Ru: 0.500 0.500 0.000
Br: 0.000 0.000 0.000

Output
V ... 30.11 A^3/atom
Magnetization ... 0.000 μB/atom
ΔE_f (raw) ... -909 meV/atom
DOS at the Fermi energy ... 7.47 states/eV per cell
E_tot ... -5.786 eV/atom